Below is crystalline BaBeRe2 at its relaxed geometry, with properties calculated at the PBE-GGA level.

```
BaBeRe2
1.0
-2.737 -2.432 3.598
1.502 -3.385 -1.145
2.915 0.442 2.516
Re Ba Be
2 1 1
Direct
0.000 0.000 0.000
0.000 0.500 0.500
0.500 0.500 0.000
0.500 0.000 0.500
```

Output
Crystal system   tetragonal
Calculated total energy   -6.014 eV/atom
Total magnetic moment   0.0 Bohr magnetons per cell